TaCrIn2O6 | GGA+U | optimized geometry

Geometry as POSCAR:
```
TaCrIn2O6
1.0
5.368 0.000 0.000
2.676 4.998 0.000
0.018 2.811 4.956
Ta Cr In O
1 1 2 6
direct
0.000 0.000 0.000
0.510 0.001 0.493
0.242 0.549 0.653
0.711 0.564 0.137
0.079 0.569 0.263
0.292 0.864 0.795
0.386 0.826 0.289
0.676 0.080 0.767
0.769 0.121 0.258
0.918 0.423 0.839
```

Output
As for the space-group type: P1 (1). The energy is -0.26833 hartree per atom. For the density of states at the Fermi level, the calculation gives 0.2351 states/eV/atom.